(1)
Computed, not measured: an optimized crystal structure of La7Nd12Sc at the GGA-PBE level of DFT.

Cell lengths 9.9215, 9.9215, 9.9215 Å; angles 109.47, 109.47, 109.47 degrees
Closest atoms and distances in Å follow each position.
Atoms (fractional coordinates):
La 0.0000 0.0000 0.5000  6 Nd 2.92
La 0.0000 0.5000 0.0000  6 Nd 2.92
La 0.0000 0.5000 0.5000  4 Nd 3.52
La 0.5000 0.0000 0.0000  6 Nd 2.92
La 0.5000 0.0000 0.5000  4 Nd 3.52
La 0.5000 0.5000 0.0000  4 Nd 3.52
La 0.5000 0.5000 0.5000  6 Nd 2.92
Nd 0.0666 0.2710 0.7955  2 La 2.92
Nd 0.2045 0.4755 0.2710  2 La 2.92
Nd 0.2045 0.9334 0.7290  2 La 2.92
Nd 0.2710 0.2045 0.4755  2 La 2.92
Nd 0.2710 0.7955 0.0666  2 La 2.92
Nd 0.4755 0.2710 0.2045  2 La 2.92
Nd 0.5245 0.7290 0.7955  2 La 2.92
Nd 0.7290 0.2045 0.9334  2 La 2.92
Nd 0.7290 0.7955 0.5245  2 La 2.92
Nd 0.7955 0.0666 0.2710  2 La 2.92
Nd 0.7955 0.5245 0.7290  2 La 2.92
Nd 0.9334 0.7290 0.2045  2 La 2.92
Sc 0.0000 0.0000 0.0000  12 Nd 3.89

Values from the calculation:
E above lowest polymorph in eV/atom: 0.459
Magnetization in μB per formula unit: 0.000
Formation energy in eV/atom: 0.5902
Crystal system: cubic

=====

(2)
Computed, not measured: an optimized crystal structure of La2Nd7Sc2 at the GGA-PBE level of DFT.

Cell lengths 6.5651, 6.7120, 8.6760 Å; angles 98.46, 93.83, 97.51 degrees
Closest atoms and distances in Å follow each position.
Atoms (fractional coordinates):
La 0.2371 0.4297 0.4618  5 Nd 3.33-3.72, 2 La 3.45, 1 Sc 3.63
La 0.7629 0.5703 0.5382  5 Nd 3.33-3.72, 2 La 3.45, 1 Sc 3.63
Nd 0.0258 0.1375 0.7292  1 Sc 3.28, 1 La 3.49, 3 Nd 3.50-3.65
Nd 0.1375 0.6876 0.8532  4 Nd 3.38-3.70, 3 Sc 3.39-3.58, 2 La 3.48-3.72
Nd 0.4433 0.6305 0.1690  1 La 3.33, 6 Nd 3.37-3.73, 3 Sc 3.40-3.51
Nd 0.5000 0.0000 0.5000  4 Nd 3.47-3.80, 2 La 3.59, 2 Sc 3.72
Nd 0.5567 0.3695 0.8310  1 La 3.33, 6 Nd 3.37-3.73, 3 Sc 3.40-3.51
Nd 0.8625 0.3124 0.1468  4 Nd 3.38-3.70, 3 Sc 3.39-3.58, 2 La 3.48-3.72
Nd 0.9742 0.8625 0.2708  1 Sc 3.28, 1 La 3.49, 3 Nd 3.50-3.65
Sc 0.3394 0.1136 0.1061  1 Sc 3.27, 7 Nd 3.28-3.58, 1 La 3.63
Sc 0.6606 0.8864 0.8939  1 Sc 3.27, 7 Nd 3.28-3.58, 1 La 3.63

Values from the calculation:
E above lowest polymorph in eV/atom: 0.000
Magnetization in μB per formula unit: 0.000
Formation energy in eV/atom: 0.1119
Crystal system: triclinic

=====

(3)
Computed, not measured: an optimized crystal structure of La5NdSc at the GGA-PBE level of DFT.

Cell lengths 5.4647, 5.4647, 8.6372 Å; angles 90.00, 90.00, 90.00 degrees
Closest atoms and distances in Å follow each position.
Atoms (fractional coordinates):
La 0.0000 0.0000 0.0000  8 La 3.72, 4 Nd 3.86
La 0.0000 0.5000 0.2923  2 Sc 3.27, 1 La 3.59
La 0.0000 0.5000 0.7077  2 Sc 3.27, 1 La 3.59
La 0.5000 0.0000 0.2923  2 Sc 3.27, 1 La 3.59
La 0.5000 0.0000 0.7077  2 Sc 3.27, 1 La 3.59
Nd 0.5000 0.5000 0.0000  12 La 3.72-3.86
Sc 0.5000 0.5000 0.5000  8 La 3.27

Values from the calculation:
E above lowest polymorph in eV/atom: 0.074
Magnetization in μB per formula unit: 0.218
Formation energy in eV/atom: 0.2201
Crystal system: tetragonal

=====

(4)
Computed, not measured: an optimized crystal structure of LaNd2Sc2 at the GGA-PBE level of DFT.

Cell lengths 7.7275, 7.7275, 6.0930 Å; angles 106.66, 106.66, 101.48 degrees
Closest atoms and distances in Å follow each position.
Atoms (fractional coordinates):
La 0.0563 0.9437 0.7500  2 La 3.33, 4 Sc 3.56-3.60, 2 Nd 3.65
La 0.9437 0.0563 0.2500  2 La 3.33, 4 Sc 3.56-3.60, 2 Nd 3.65
Nd 0.1297 0.5614 0.3065  4 Sc 3.23-3.52, 2 Nd 3.39-3.43
Nd 0.4386 0.8703 0.1935  4 Sc 3.23-3.52, 2 Nd 3.39-3.43
Nd 0.5614 0.1297 0.8065  4 Sc 3.23-3.52, 2 Nd 3.39-3.43
Nd 0.8703 0.4386 0.6935  4 Sc 3.23-3.52, 2 Nd 3.39-3.43
Sc 0.2965 0.4112 0.7991  4 Sc 3.12-3.34, 3 Nd 3.23-3.41
Sc 0.4112 0.2965 0.2991  4 Sc 3.12-3.34, 3 Nd 3.23-3.41
Sc 0.5888 0.7035 0.7009  4 Sc 3.12-3.34, 3 Nd 3.23-3.41
Sc 0.7035 0.5888 0.2009  4 Sc 3.12-3.34, 3 Nd 3.23-3.41

Values from the calculation:
Magnetization in μB per formula unit: 0.000
Formation energy in eV/atom: 0.1602
Crystal system: monoclinic

=====

(5)
Computed, not measured: an optimized crystal structure of La4Nd6Sc at the GGA-PBE level of DFT.

Cell lengths 8.8141, 8.8141, 9.7934 Å; angles 90.00, 90.00, 90.00 degrees
Closest atoms and distances in Å follow each position.
Atoms (fractional coordinates):
La 0.1445 0.3555 0.2500  8 Nd 3.47-3.64, 1 La 3.60
La 0.1445 0.3555 0.7500  8 Nd 3.47-3.64, 1 La 3.60
La 0.3555 0.8555 0.2500  8 Nd 3.47-3.64, 1 La 3.60
La 0.3555 0.8555 0.7500  8 Nd 3.47-3.64, 1 La 3.60
La 0.6445 0.1445 0.2500  8 Nd 3.47-3.64, 1 La 3.60
La 0.6445 0.1445 0.7500  8 Nd 3.47-3.64, 1 La 3.60
La 0.8555 0.6445 0.2500  8 Nd 3.47-3.64, 1 La 3.60
La 0.8555 0.6445 0.7500  8 Nd 3.47-3.64, 1 La 3.60
Nd 0.0000 0.0000 0.1705  1 Sc 3.23, 1 Nd 3.34, 4 La 3.47
Nd 0.0000 0.0000 0.8295  1 Sc 3.23, 1 Nd 3.34, 4 La 3.47
Nd 0.1516 0.6612 0.5000  1 Sc 3.27, 6 La 3.49-3.64
Nd 0.1612 0.6516 0.0000  1 Sc 3.27, 6 La 3.49-3.64
Nd 0.3388 0.1516 0.5000  1 Sc 3.27, 6 La 3.49-3.64
Nd 0.3484 0.1612 0.0000  1 Sc 3.27, 6 La 3.49-3.64
Nd 0.5000 0.5000 0.3295  1 Sc 3.23, 1 Nd 3.34, 4 La 3.47
Nd 0.5000 0.5000 0.6705  1 Sc 3.23, 1 Nd 3.34, 4 La 3.47
Nd 0.6516 0.8388 0.0000  1 Sc 3.27, 6 La 3.49-3.64
Nd 0.6612 0.8484 0.5000  1 Sc 3.27, 6 La 3.49-3.64
Nd 0.8388 0.3484 0.0000  1 Sc 3.27, 6 La 3.49-3.64
Nd 0.8484 0.3388 0.5000  1 Sc 3.27, 6 La 3.49-3.64
Sc 0.0000 0.0000 0.5000  6 Nd 3.23-3.27
Sc 0.5000 0.5000 0.0000  6 Nd 3.23-3.27

Values from the calculation:
Magnetization in μB per formula unit: 0.000
Formation energy in eV/atom: 0.0839
Crystal system: tetragonal

=====

(6)
Computed, not measured: an optimized crystal structure of La5Nd12Sc3 at the GGA-PBE level of DFT.

Cell lengths 15.8469, 15.8469, 15.8469 Å; angles 109.47, 109.47, 109.47 degrees
Closest atoms and distances in Å follow each position.
Atoms (fractional coordinates):
La 0.0000 0.0000 0.0000  6 Nd 3.19
La 0.0000 0.0000 0.5000  6 Nd 3.19
La 0.0000 0.5000 0.0000  6 Nd 3.19
La 0.0000 0.5000 0.5000  6 Nd 3.19
La 0.1250 0.7500 0.8750  4 Nd 3.09
La 0.1250 0.8750 0.2500  4 Nd 3.09
La 0.2500 0.1250 0.8750  4 Nd 3.09
La 0.2500 0.6250 0.3750  4 Nd 3.09
La 0.3750 0.2500 0.6250  4 Nd 3.09
La 0.3750 0.6250 0.7500  4 Nd 3.09
La 0.5000 0.0000 0.0000  6 Nd 3.19
La 0.5000 0.0000 0.5000  6 Nd 3.19
La 0.5000 0.5000 0.0000  6 Nd 3.19
La 0.5000 0.5000 0.5000  6 Nd 3.19
La 0.6250 0.3750 0.2500  4 Nd 3.09
La 0.6250 0.7500 0.3750  4 Nd 3.09
La 0.7500 0.3750 0.6250  4 Nd 3.09
La 0.7500 0.8750 0.1250  4 Nd 3.09
La 0.8750 0.1250 0.7500  4 Nd 3.09
La 0.8750 0.2500 0.1250  4 Nd 3.09
Nd 0.0687 0.2346 0.1410  2 La 3.09-3.19, 2 Sc 3.14-3.41, 1 Nd 3.24
Nd 0.0687 0.3341 0.9277  2 La 3.09-3.19, 2 Sc 3.14-3.41, 1 Nd 3.24
Nd 0.0723 0.6410 0.4064  2 La 3.09-3.19, 2 Sc 3.14-3.41, 1 Nd 3.24
Nd 0.0723 0.9313 0.6659  2 La 3.09-3.19, 2 Sc 3.14-3.41, 1 Nd 3.24
Nd 0.0936 0.7346 0.6659  2 La 3.09-3.19, 2 Sc 3.14-3.41, 1 Nd 3.24
Nd 0.0936 0.8590 0.4277  2 La 3.09-3.19, 2 Sc 3.14-3.41, 1 Nd 3.24
Nd 0.1410 0.0687 0.2346  2 La 3.09-3.19, 2 Sc 3.14-3.41, 1 Nd 3.24
Nd 0.1410 0.5723 0.9064  2 La 3.09-3.19, 2 Sc 3.14-3.41, 1 Nd 3.24
Nd 0.1659 0.2346 0.5936  2 La 3.09-3.19, 2 Sc 3.14-3.41, 1 Nd 3.24
Nd 0.1659 0.4313 0.5723  2 La 3.09-3.19, 2 Sc 3.14-3.41, 1 Nd 3.24
Nd 0.2346 0.1410 0.0687  2 La 3.09-3.19, 2 Sc 3.14-3.41, 1 Nd 3.24
Nd 0.2346 0.5936 0.1659  2 La 3.09-3.19, 2 Sc 3.14-3.41, 1 Nd 3.24
Nd 0.2654 0.3341 0.9064  2 La 3.09-3.19, 2 Sc 3.14-3.41, 1 Nd 3.24
Nd 0.2654 0.4313 0.3590  2 La 3.09-3.19, 2 Sc 3.14-3.41, 1 Nd 3.24
Nd 0.3341 0.9064 0.2654  2 La 3.09-3.19, 2 Sc 3.14-3.41, 1 Nd 3.24
Nd 0.3341 0.9277 0.0687  2 La 3.09-3.19, 2 Sc 3.14-3.41, 1 Nd 3.24
Nd 0.3590 0.2654 0.4313  2 La 3.09-3.19, 2 Sc 3.14-3.41, 1 Nd 3.24
Nd 0.3590 0.5936 0.9277  2 La 3.09-3.19, 2 Sc 3.14-3.41, 1 Nd 3.24
Nd 0.4064 0.0723 0.6410  2 La 3.09-3.19, 2 Sc 3.14-3.41, 1 Nd 3.24
Nd 0.4064 0.8341 0.7654  2 La 3.09-3.19, 2 Sc 3.14-3.41, 1 Nd 3.24
Nd 0.4277 0.0936 0.8590  2 La 3.09-3.19, 2 Sc 3.14-3.41, 1 Nd 3.24
Nd 0.4277 0.8341 0.5687  2 La 3.09-3.19, 2 Sc 3.14-3.41, 1 Nd 3.24
Nd 0.4313 0.3590 0.2654  2 La 3.09-3.19, 2 Sc 3.14-3.41, 1 Nd 3.24
Nd 0.4313 0.5723 0.1659  2 La 3.09-3.19, 2 Sc 3.14-3.41, 1 Nd 3.24
Nd 0.5687 0.4277 0.8341  2 La 3.09-3.19, 2 Sc 3.14-3.41, 1 Nd 3.24
Nd 0.5687 0.6410 0.7346  2 La 3.09-3.19, 2 Sc 3.14-3.41, 1 Nd 3.24
Nd 0.5723 0.1659 0.4313  2 La 3.09-3.19, 2 Sc 3.14-3.41, 1 Nd 3.24
Nd 0.5723 0.9064 0.1410  2 La 3.09-3.19, 2 Sc 3.14-3.41, 1 Nd 3.24
Nd 0.5936 0.1659 0.2346  2 La 3.09-3.19, 2 Sc 3.14-3.41, 1 Nd 3.24
Nd 0.5936 0.9277 0.3590  2 La 3.09-3.19, 2 Sc 3.14-3.41, 1 Nd 3.24
Nd 0.6410 0.4064 0.0723  2 La 3.09-3.19, 2 Sc 3.14-3.41, 1 Nd 3.24
Nd 0.6410 0.7346 0.5687  2 La 3.09-3.19, 2 Sc 3.14-3.41, 1 Nd 3.24
Nd 0.6659 0.0723 0.9313  2 La 3.09-3.19, 2 Sc 3.14-3.41, 1 Nd 3.24
Nd 0.6659 0.0936 0.7346  2 La 3.09-3.19, 2 Sc 3.14-3.41, 1 Nd 3.24
Nd 0.7346 0.5687 0.6410  2 La 3.09-3.19, 2 Sc 3.14-3.41, 1 Nd 3.24
Nd 0.7346 0.6659 0.0936  2 La 3.09-3.19, 2 Sc 3.14-3.41, 1 Nd 3.24
Nd 0.7654 0.4064 0.8341  2 La 3.09-3.19, 2 Sc 3.14-3.41, 1 Nd 3.24
Nd 0.7654 0.8590 0.9313  2 La 3.09-3.19, 2 Sc 3.14-3.41, 1 Nd 3.24
Nd 0.8341 0.5687 0.4277  2 La 3.09-3.19, 2 Sc 3.14-3.41, 1 Nd 3.24
Nd 0.8341 0.7654 0.4064  2 La 3.09-3.19, 2 Sc 3.14-3.41, 1 Nd 3.24
Nd 0.8590 0.4277 0.0936  2 La 3.09-3.19, 2 Sc 3.14-3.41, 1 Nd 3.24
Nd 0.8590 0.9313 0.7654  2 La 3.09-3.19, 2 Sc 3.14-3.41, 1 Nd 3.24
Nd 0.9064 0.1410 0.5723  2 La 3.09-3.19, 2 Sc 3.14-3.41, 1 Nd 3.24
Nd 0.9064 0.2654 0.3341  2 La 3.09-3.19, 2 Sc 3.14-3.41, 1 Nd 3.24
Nd 0.9277 0.0687 0.3341  2 La 3.09-3.19, 2 Sc 3.14-3.41, 1 Nd 3.24
Nd 0.9277 0.3590 0.5936  2 La 3.09-3.19, 2 Sc 3.14-3.41, 1 Nd 3.24
Nd 0.9313 0.6659 0.0723  2 La 3.09-3.19, 2 Sc 3.14-3.41, 1 Nd 3.24
Nd 0.9313 0.7654 0.8590  2 La 3.09-3.19, 2 Sc 3.14-3.41, 1 Nd 3.24
Sc 0.1250 0.2500 0.3750  8 Nd 3.14-3.41
Sc 0.1250 0.3750 0.7500  8 Nd 3.14-3.41
Sc 0.2500 0.3750 0.1250  8 Nd 3.14-3.41
Sc 0.2500 0.8750 0.6250  8 Nd 3.14-3.41
Sc 0.3750 0.1250 0.2500  8 Nd 3.14-3.41
Sc 0.3750 0.7500 0.1250  8 Nd 3.14-3.41
Sc 0.6250 0.2500 0.8750  8 Nd 3.14-3.41
Sc 0.6250 0.8750 0.7500  8 Nd 3.14-3.41
Sc 0.7500 0.1250 0.3750  8 Nd 3.14-3.41
Sc 0.7500 0.6250 0.8750  8 Nd 3.14-3.41
Sc 0.8750 0.6250 0.2500  8 Nd 3.14-3.41
Sc 0.8750 0.7500 0.6250  8 Nd 3.14-3.41

Values from the calculation:
Magnetization in μB per formula unit: 0.008
Formation energy in eV/atom: 0.8616
Crystal system: cubic

=====

(7)
Computed, not measured: an optimized crystal structure of LaNd6Sc2 at the GGA-PBE level of DFT.

Cell lengths 8.1057, 8.1057, 10.4034 Å; angles 90.00, 90.00, 90.00 degrees
Closest atoms and distances in Å follow each position.
Atoms (fractional coordinates):
La 0.0000 0.0000 0.0000  6 Nd 3.06-3.29
La 0.5000 0.5000 0.5000  6 Nd 3.06-3.29
Nd 0.2330 0.2330 0.5000  1 La 3.06, 2 Sc 3.16
Nd 0.2426 0.2426 0.1696  2 Sc 2.95-3.28, 1 La 3.29
Nd 0.2426 0.2426 0.8304  2 Sc 2.95-3.28, 1 La 3.29
Nd 0.2574 0.7426 0.3304  2 Sc 2.95-3.28, 1 La 3.29
Nd 0.2574 0.7426 0.6696  2 Sc 2.95-3.28, 1 La 3.29
Nd 0.2670 0.7330 0.0000  1 La 3.06, 2 Sc 3.16
Nd 0.7330 0.2670 0.0000  1 La 3.06, 2 Sc 3.16
Nd 0.7426 0.2574 0.3304  2 Sc 2.95-3.28, 1 La 3.29
Nd 0.7426 0.2574 0.6696  2 Sc 2.95-3.28, 1 La 3.29
Nd 0.7574 0.7574 0.1696  2 Sc 2.95-3.28, 1 La 3.29
Nd 0.7574 0.7574 0.8304  2 Sc 2.95-3.28, 1 La 3.29
Nd 0.7670 0.7670 0.5000  1 La 3.06, 2 Sc 3.16
Sc 0.0000 0.0000 0.3376  6 Nd 2.95-3.28
Sc 0.0000 0.0000 0.6624  6 Nd 2.95-3.28
Sc 0.5000 0.5000 0.1624  6 Nd 2.95-3.28
Sc 0.5000 0.5000 0.8376  6 Nd 2.95-3.28

Values from the calculation:
E above lowest polymorph in eV/atom: 0.439
Magnetization in μB per formula unit: 0.001
Formation energy in eV/atom: 0.5645
Crystal system: tetragonal

=====

(8)
Computed, not measured: an optimized crystal structure of LaNdSc2 at the GGA-PBE level of DFT.

Cell lengths 5.7915, 5.7915, 3.6415 Å; angles 90.00, 90.00, 102.12 degrees
Closest atoms and distances in Å follow each position.
Atoms (fractional coordinates):
La 0.0000 0.0000 0.0000  8 Sc 3.42, 2 Nd 3.64, 2 La 3.64
Nd 0.5000 0.5000 0.0000  8 Sc 3.42, 2 La 3.64, 2 Nd 3.64
Sc 0.0000 0.5000 0.5000  4 La 3.42, 4 Nd 3.42, 4 Sc 3.64
Sc 0.5000 0.0000 0.5000  4 La 3.42, 4 Nd 3.42, 4 Sc 3.64

Values from the calculation:
E above lowest polymorph in eV/atom: 0.000
Magnetization in μB per formula unit: 0.000
Formation energy in eV/atom: 0.0534
Crystal system: orthorhombic